[1]
A relaxed Th2Mn2GaCo5 crystal, computed with PBE.

The structure in CIF format:
```
data_Th2Mn2GaCo5
_cell_length_a 3.710
_cell_length_b 9.104
_cell_length_c 9.104
_cell_angle_alpha 90.00
_cell_angle_beta 90.00
_cell_angle_gamma 90.00
_space_group_name_H-M_alt 'P 1'
_space_group_IT_number 1
_space_group_name_Hall 'P 1'
loop_
_atom_site_label
_atom_site_fract_x
_atom_site_fract_y
_atom_site_fract_z
Co1 0.500 0.556 0.709
Co2 0.500 0.291 0.556
Ga1 0.000 0.000 0.000
Co3 0.500 0.944 0.209
Th1 0.000 0.812 0.688
Co4 0.500 0.444 0.291
Mn1 0.000 0.111 0.611
Mn2 0.000 0.611 0.889
Th2 0.000 0.312 0.812
Co5 0.500 0.056 0.791
Co6 0.500 0.209 0.056
Th3 0.000 0.688 0.188
Co7 0.500 0.709 0.444
Ga2 0.000 0.500 0.500
Co8 0.500 0.000 0.500
Co9 0.500 0.500 0.000
Mn3 0.000 0.389 0.111
Co10 0.500 0.791 0.944
Mn4 0.000 0.889 0.389
Th4 0.000 0.188 0.312
```

## Properties
For the total energy, the calculation gives -144.1 eV per cell. Its volume is 15.38 A^3/atom. As for the space group: P4/mbm (127).

[2]
A relaxed Rb2ZrAsOs crystal, computed with PBE.

The structure in CIF format:
```
data_Rb2ZrAsOs
_cell_length_a 6.983
_cell_length_b 5.107
_cell_length_c 6.983
_cell_angle_alpha 90.00
_cell_angle_beta 90.00
_cell_angle_gamma 90.00
_space_group_name_H-M_alt 'P 1'
_space_group_IT_number 1
_space_group_name_Hall 'P 1'
loop_
_atom_site_label
_atom_site_fract_x
_atom_site_fract_y
_atom_site_fract_z
As1 0.000 0.500 0.000
Rb1 0.500 0.000 0.000
Os1 0.500 0.500 0.500
Zr1 0.000 0.000 0.000
Rb2 0.000 0.000 0.500
```

## Properties
For the total energy, the calculation gives -18.0 eV per cell. Its volume is 49.80 A^3/atom. As for the space group: P4/mmm (123).

[3]
A relaxed Ho3Ag4SbS8 crystal, computed with PBE.

The structure in CIF format:
```
data_Ho3Ag4SbS8
_cell_length_a 8.008
_cell_length_b 7.739
_cell_length_c 8.004
_cell_angle_alpha 121.34
_cell_angle_beta 120.01
_cell_angle_gamma 90.00
_space_group_name_H-M_alt 'P 1'
_space_group_IT_number 1
_space_group_name_Hall 'P 1'
loop_
_atom_site_label
_atom_site_fract_x
_atom_site_fract_y
_atom_site_fract_z
Ag1 0.500 0.000 0.500
Ag2 0.000 0.000 0.000
S1 0.752 0.258 0.504
S2 0.747 0.741 0.995
S3 0.248 0.742 0.496
S4 0.253 0.259 0.005
Ho1 0.500 0.500 0.000
Ho2 0.500 0.500 0.500
S5 0.248 0.741 0.995
Ag3 0.000 0.000 0.500
S6 0.752 0.259 0.005
Sb1 0.000 0.500 0.000
Ag4 0.500 0.000 0.000
Ho3 0.000 0.500 0.500
S7 0.746 0.738 0.493
S8 0.254 0.262 0.507
```

## Properties
The calculation puts the uncorrected formation energy at -22.95 kcal/mol of atoms. Its volume is 21.46 A^3/atom. As for the space group: C2/m (12).

[4]
A relaxed ZrTl3Cr2S6 crystal, computed with PBE.

The structure in CIF format:
```
data_ZrTl3Cr2S6
_cell_length_a 6.172
_cell_length_b 6.172
_cell_length_c 8.543
_cell_angle_alpha 99.33
_cell_angle_beta 99.33
_cell_angle_gamma 120.15
_space_group_name_H-M_alt 'P 1'
_space_group_IT_number 1
_space_group_name_Hall 'P 1'
loop_
_atom_site_label
_atom_site_fract_x
_atom_site_fract_y
_atom_site_fract_z
Cr1 0.667 0.333 0.000
S1 0.922 0.571 0.829
Tl1 0.500 0.500 0.500
Cr2 0.333 0.667 0.000
S2 0.571 0.922 0.829
S3 0.276 0.276 0.829
Zr1 0.000 0.000 0.000
S4 0.429 0.078 0.171
S5 0.078 0.429 0.171
Tl2 0.833 0.167 0.500
Tl3 0.167 0.833 0.500
S6 0.724 0.724 0.171
```

## Properties
The calculation puts the uncorrected formation energy at -17.70 kcal/mol of atoms. Its volume is 22.18 A^3/atom. As for the space group: C2/m (12).

[5]
A relaxed Sm2AlC crystal, computed with PBE.

The structure in CIF format:
```
data_Sm2AlC
_cell_length_a 3.577
_cell_length_b 3.577
_cell_length_c 9.435
_cell_angle_alpha 79.07
_cell_angle_beta 79.07
_cell_angle_gamma 60.00
_space_group_name_H-M_alt 'P 1'
_space_group_IT_number 1
_space_group_name_Hall 'P 1'
loop_
_atom_site_label
_atom_site_fract_x
_atom_site_fract_y
_atom_site_fract_z
C1 0.500 0.500 0.500
Sm1 0.884 0.884 0.349
Sm2 0.116 0.116 0.651
Al1 0.000 0.000 0.000
```

## Properties
For the total energy, the calculation gives -22.0 eV per cell. Its volume is 25.50 A^3/atom. As for the space group: R-3m (166).

[6]
A relaxed ErLu2Te crystal, computed with PBE.

The structure in CIF format:
```
data_ErLu2Te
_cell_length_a 3.697
_cell_length_b 3.697
_cell_length_c 11.069
_cell_angle_alpha 80.39
_cell_angle_beta 80.39
_cell_angle_gamma 60.00
_space_group_name_H-M_alt 'P 1'
_space_group_IT_number 1
_space_group_name_Hall 'P 1'
loop_
_atom_site_label
_atom_site_fract_x
_atom_site_fract_y
_atom_site_fract_z
Te1 0.500 0.500 0.500
Lu1 0.898 0.898 0.307
Er1 0.000 0.000 0.000
Lu2 0.102 0.102 0.693
```

## Properties
The calculation puts the uncorrected formation energy at -2.82 kcal/mol of atoms. Its volume is 32.14 A^3/atom. As for the space group: R-3m (166).

[7]
A relaxed LaPrSm2Tm4 crystal, computed with PBE.

The structure in CIF format:
```
data_LaPrSm2Tm4
_cell_length_a 9.520
_cell_length_b 9.520
_cell_length_c 11.874
_cell_angle_alpha 128.58
_cell_angle_beta 128.58
_cell_angle_gamma 88.18
_space_group_name_H-M_alt 'P 1'
_space_group_IT_number 1
_space_group_name_Hall 'P 1'
loop_
_atom_site_label
_atom_site_fract_x
_atom_site_fract_y
_atom_site_fract_z
La1 0.500 0.500 0.500
Tm1 0.250 0.249 0.998
Pr1 0.000 0.500 0.000
Tm2 0.251 0.750 0.000
Sm1 0.500 0.000 0.500
Sm2 0.500 0.000 0.000
Sm3 0.500 0.500 0.000
Tm3 0.250 0.751 0.500
Tm4 0.251 0.250 0.502
Tm5 0.749 0.750 0.498
La2 0.000 0.000 0.000
Tm6 0.749 0.250 0.000
Sm4 0.000 0.000 0.500
Tm7 0.750 0.249 0.500
Pr2 0.000 0.500 0.500
Tm8 0.750 0.751 0.002
```

## Properties
For the total energy, the calculation gives -67.6 eV per cell. Its volume is 33.36 A^3/atom. As for the space group: Imma (74).

[8]
A relaxed Pm2Pb2O7 crystal, computed with PBE.

The structure in CIF format:
```
data_Pm2Pb2O7
_cell_length_a 7.738
_cell_length_b 7.738
_cell_length_c 7.738
_cell_angle_alpha 60.00
_cell_angle_beta 60.00
_cell_angle_gamma 60.00
_space_group_name_H-M_alt 'P 1'
_space_group_IT_number 1
_space_group_name_Hall 'P 1'
loop_
_atom_site_label
_atom_site_fract_x
_atom_site_fract_y
_atom_site_fract_z
O1 0.030 0.030 0.470
Pm1 0.625 0.625 0.125
Pm2 0.125 0.625 0.625
Pm3 0.625 0.125 0.625
O2 0.030 0.470 0.030
Pm4 0.625 0.625 0.625
O3 0.780 0.220 0.220
O4 0.470 0.030 0.030
O5 0.030 0.470 0.470
O6 0.500 0.500 0.500
O7 0.780 0.780 0.220
O8 0.220 0.220 0.780
Pb1 0.125 0.125 0.125
O9 0.470 0.470 0.030
Pb2 0.125 0.125 0.625
Pb3 0.125 0.625 0.125
Pb4 0.625 0.125 0.125
O10 0.750 0.750 0.750
O11 0.780 0.220 0.780
O12 0.220 0.780 0.220
O13 0.220 0.780 0.780
O14 0.470 0.030 0.470
```

## Properties
The calculation puts the uncorrected formation energy at -48.18 kcal/mol of atoms. Its volume is 14.89 A^3/atom. As for the space group: Fd-3m (227).

[9]
A relaxed Pm5SnBi2 crystal, computed with PBE.

The structure in CIF format:
```
data_Pm5SnBi2
_cell_length_a 8.313
_cell_length_b 8.313
_cell_length_c 6.860
_cell_angle_alpha 127.33
_cell_angle_beta 127.33
_cell_angle_gamma 89.95
_space_group_name_H-M_alt 'P 1'
_space_group_IT_number 1
_space_group_name_Hall 'P 1'
loop_
_atom_site_label
_atom_site_fract_x
_atom_site_fract_y
_atom_site_fract_z
Bi1 0.722 0.222 0.445
Pm1 0.722 0.722 0.444
Pm2 0.222 0.723 0.945
Pm3 0.723 0.222 0.945
Pm4 0.222 0.222 0.943
Pm5 0.722 0.722 0.943
Bi2 0.222 0.722 0.445
Sn1 0.222 0.222 0.444
```

## Properties
For the total energy, the calculation gives -39.5 eV per cell. Its volume is 30.52 A^3/atom. As for the space group: I4/mmm (139).

[10]
A relaxed MnZn2Os crystal, computed with PBE.

The structure in CIF format:
```
data_MnZn2Os
_cell_length_a 3.327
_cell_length_b 4.089
_cell_length_c 4.088
_cell_angle_alpha 90.00
_cell_angle_beta 90.00
_cell_angle_gamma 90.00
_space_group_name_H-M_alt 'P 1'
_space_group_IT_number 1
_space_group_name_Hall 'P 1'
loop_
_atom_site_label
_atom_site_fract_x
_atom_site_fract_y
_atom_site_fract_z
Mn1 0.500 0.000 0.500
Os1 0.000 0.500 0.500
Zn1 0.000 0.000 0.000
Zn2 0.500 0.500 0.000
```

## Properties
The relative energy among the computed polymorphs comes out at 97 meV/atom. Its volume is 13.90 A^3/atom. As for the space group: Pmmm (47).

[11]
A relaxed ScZn2Cu3 crystal, computed with PBE.

The structure in CIF format:
```
data_ScZn2Cu3
_cell_length_a 4.177
_cell_length_b 7.697
_cell_length_c 6.975
_cell_angle_alpha 123.49
_cell_angle_beta 107.42
_cell_angle_gamma 90.00
_space_group_name_H-M_alt 'P 1'
_space_group_IT_number 1
_space_group_name_Hall 'P 1'
loop_
_atom_site_label
_atom_site_fract_x
_atom_site_fract_y
_atom_site_fract_z
Cu1 0.825 0.075 0.650
Sc1 0.000 0.000 0.000
Zn1 0.327 0.827 0.655
Cu2 0.825 0.575 0.650
Sc2 0.000 0.500 0.000
Cu3 0.500 0.250 0.000
Cu4 0.175 0.925 0.350
Zn2 0.328 0.327 0.655
Cu5 0.175 0.425 0.350
Cu6 0.500 0.750 0.000
Zn3 0.673 0.173 0.345
Zn4 0.672 0.673 0.345
```

## Properties
The relative energy among the computed polymorphs comes out at 80 meV/atom. Its volume is 14.55 A^3/atom. As for the space group: Cmmm (65).

[12]
A relaxed KMgS2N crystal, computed with PBE.

The structure in CIF format:
```
data_KMgS2N
_cell_length_a 5.032
_cell_length_b 5.032
_cell_length_c 4.423
_cell_angle_alpha 90.00
_cell_angle_beta 90.00
_cell_angle_gamma 90.00
_space_group_name_H-M_alt 'P 1'
_space_group_IT_number 1
_space_group_name_Hall 'P 1'
loop_
_atom_site_label
_atom_site_fract_x
_atom_site_fract_y
_atom_site_fract_z
S1 0.500 0.000 0.000
S2 0.000 0.500 0.000
Mg1 0.000 0.000 0.000
K1 0.500 0.500 0.500
N1 0.000 0.000 0.500
```

## Properties
The calculation puts the uncorrected formation energy at 4.46 kcal/mol of atoms. The relative energy among the computed polymorphs comes out at 0 meV/atom. Its volume is 22.40 A^3/atom. As for the space group: P4/mmm (123).